Ca2PaRh2 PBE optimized geometry; SG = No. 15; magnetic moment = 0.0 μB/f.u.; E_form = -583 meV/atom
1.0
-5.227 -1.881 3.209
-2.369 -5.888 -0.931
3.381 -3.225 5.456
Ca Pa Rh
4 2 4
Cartesian
-2.455 -2.741 2.024
-4.060 -5.787 3.864
-1.760 -8.253 5.710
-0.155 -5.208 3.870
-1.722 -6.417 0.721
-2.493 -4.578 7.014
-4.348 -8.878 4.159
2.644 -4.879 5.115
0.133 -2.116 3.575
-6.859 -6.115 2.619